# 1
VASP calculation (PBE) on crystalline Na3TlPt at its relaxed geometry.

a b c (Å): 7.2694 7.2694 7.3151
angles (deg): 107.67 117.12 103.64
With the nearest neighbours (Å) after each atom.
Atoms (fractional coordinates):
Pt 0.6113 0.7746 0.3859  2 Tl 2.72-2.78, 5 Na 2.87-3.04
Tl 0.2853 0.9237 0.2090  2 Pt 2.72-2.78
Na 0.1320 0.9659 0.7210  2 Pt 2.87-3.04, 1 Na 3.19
Na 0.8680 0.0341 0.2790  2 Pt 2.87-3.04, 1 Na 3.19
Na 0.2449 0.4110 0.2790  2 Pt 2.87-3.04, 1 Na 3.19
Pt 0.3887 0.2254 0.6141  2 Tl 2.72-2.78, 5 Na 2.87-3.04
Na 0.2974 0.5520 0.8494  2 Pt 2.89-3.08, 1 Tl 3.20, 1 Na 3.20
Na 0.7026 0.4480 0.1506  2 Pt 2.89-3.08, 1 Tl 3.20, 1 Na 3.20
Tl 0.7147 0.0763 0.7910  2 Pt 2.72-2.78
Na 0.7551 0.5890 0.7210  2 Pt 2.87-3.04, 1 Na 3.19

Results
energy of formation from the pure elements = -2.78 kcal/mol of atoms
total magnetization = 0.00 μB per formula unit
raw total energy = -2.593 eV per atom

# 2
VASP calculation (PBE) on crystalline Na4Tl5Pt2 at its relaxed geometry.

a b c (Å): 4.2556 7.6010 9.4597
angles (deg): 96.30 90.00 90.00
With the nearest neighbours (Å) after each atom.
Atoms (fractional coordinates):
Na 0.5000 0.1971 0.8414  2 Pt 2.98, 2 Tl 3.32
Pt 0.0000 0.9182 0.3694  1 Pt 2.64, 2 Tl 2.76-2.77
Tl 0.0000 0.8628 0.8457  1 Pt 2.77
Pt 0.0000 0.0818 0.6306  1 Pt 2.64, 2 Tl 2.76-2.77
Tl 0.0000 0.5000 0.0000  4 Tl 3.22-3.26, 4 Na 3.37
Na 0.5000 0.8029 0.1587  2 Pt 2.98, 2 Tl 3.32
Tl 0.0000 0.1372 0.1543  1 Pt 2.77
Na 0.5000 0.8016 0.5635  4 Pt 3.01-3.03, 1 Na 3.37
Tl 0.0000 0.5533 0.3423  1 Pt 2.76
Na 0.5000 0.1984 0.4365  4 Pt 3.01-3.03, 1 Na 3.37
Tl 0.0000 0.4467 0.6577  1 Pt 2.76

Results
energy of formation from the pure elements = -2.39 kcal/mol of atoms
total magnetization = 0.00 μB per formula unit
raw total energy = -2.757 eV per atom

# 3
VASP calculation (PBE) on crystalline Na3TlPt at its relaxed geometry.

a b c (Å): 6.2122 8.5188 10.0743
angles (deg): 108.02 90.00 90.00
With the nearest neighbours (Å) after each atom.
Atoms (fractional coordinates):
Na 0.5129 0.7869 0.4482  2 Pt 3.13-3.31, 3 Na 3.16-3.46, 2 Tl 3.24-3.34
Na 0.7660 0.6269 0.1576  3 Pt 2.90-3.18, 4 Tl 3.10-3.25, 2 Na 3.16-3.23
Na 0.0078 0.9992 0.3481  2 Pt 3.00-3.01, 1 Na 3.06
Na 0.2340 0.3731 0.8424  3 Pt 2.90-3.18, 4 Tl 3.10-3.25, 2 Na 3.16-3.23
Na 0.5078 0.0008 0.1519  2 Pt 3.00-3.01, 1 Na 3.06
Na 0.9922 0.0008 0.6519  2 Pt 3.00-3.01, 1 Na 3.06
Pt 0.0280 0.6808 0.4174  3 Tl 2.89-2.94, 6 Na 2.90-3.18
Pt 0.9720 0.3192 0.5826  3 Tl 2.89-2.94, 6 Na 2.90-3.18
Tl 0.7671 0.3784 0.3454  3 Pt 2.89-2.94, 3 Na 3.10-3.21
Na 0.4922 0.9992 0.8481  2 Pt 3.00-3.01, 1 Na 3.06
Na 0.9871 0.7869 0.9482  2 Pt 3.13-3.31, 3 Na 3.16-3.46, 2 Tl 3.24-3.34
Na 0.7340 0.6269 0.6576  3 Pt 2.90-3.18, 4 Tl 3.10-3.25, 2 Na 3.16-3.23
Na 0.2660 0.3731 0.3424  3 Pt 2.90-3.18, 4 Tl 3.10-3.25, 2 Na 3.16-3.23
Tl 0.2329 0.6216 0.6546  3 Pt 2.89-2.94, 3 Na 3.10-3.21
Na 0.4871 0.2131 0.5518  2 Pt 3.13-3.31, 3 Na 3.16-3.46, 2 Tl 3.24-3.34
Pt 0.5280 0.3192 0.0826  3 Tl 2.89-2.94, 6 Na 2.90-3.18
Pt 0.4720 0.6808 0.9174  3 Tl 2.89-2.94, 6 Na 2.90-3.18
Tl 0.2671 0.6216 0.1546  3 Pt 2.89-2.94, 3 Na 3.10-3.21
Tl 0.7329 0.3784 0.8454  3 Pt 2.89-2.94, 3 Na 3.10-3.21
Na 0.0129 0.2131 0.0518  2 Pt 3.13-3.31, 3 Na 3.16-3.46, 2 Tl 3.24-3.34

Results
energy of formation from the pure elements = -3.14 kcal/mol of atoms
total magnetization = 0.00 μB per formula unit
raw total energy = -2.609 eV per atom

# 4
VASP calculation (PBE) on crystalline Na6TlPt2 at its relaxed geometry.

a b c (Å): 5.0751 5.0751 10.6064
angles (deg): 76.16 76.16 60.00
With the nearest neighbours (Å) after each atom.
Atoms (fractional coordinates):
Na 0.4267 0.4267 0.7199  3 Pt 2.93, 3 Na 3.27
Na 0.7122 0.7122 0.8633  4 Na 3.06-3.27, 3 Pt 3.22, 3 Tl 3.24
Pt 0.9110 0.9110 0.2670  1 Tl 2.72, 4 Na 2.93-3.02
Na 0.5733 0.5733 0.2801  3 Pt 2.93, 3 Na 3.27
Na 0.8122 0.8122 0.5635  1 Pt 3.02, 7 Na 3.06-3.34
Na 0.2878 0.2878 0.1367  4 Na 3.06-3.27, 3 Pt 3.22, 3 Tl 3.24
Pt 0.0890 0.0890 0.7330  1 Tl 2.72, 4 Na 2.93-3.02
Tl 0.0000 0.0000 0.0000  2 Pt 2.72
Na 0.1878 0.1878 0.4365  1 Pt 3.02, 7 Na 3.06-3.34

Results
energy of formation from the pure elements = -2.98 kcal/mol of atoms
total magnetization = 0.00 μB per formula unit
raw total energy = -2.614 eV per atom